[1]
Compound: LiPrTlAu
Source: the Alexandria database
Functional: GGA-PBE
Structure: relaxed

Cell lengths 5.1392, 5.1392, 5.1392 Å; angles 60.00, 60.00, 60.00 degrees
Closest atoms and distances in Å follow each position.
Sites, in units of the cell vectors:
1 Li 0.2500 0.2500 0.2500  4 Tl 3.15, 4 Au 3.15
2 Tl 0.5000 0.5000 0.5000  4 Pr 3.15, 4 Li 3.15
3 Au 0.0000 0.0000 0.0000  4 Li 3.15, 4 Pr 3.15
4 Pr 0.7500 0.7500 0.7500  4 Tl 3.15, 4 Au 3.15

Output
- relative energy among the computed polymorphs (kJ/mol of atoms) = 2.0
- energy (hartree per atom) = -0.1307
- symmetry = F-43m
- energy relative to the elements (eV per atom) = -0.472

***

[2]
Compound: Li2PrTlAu2
Source: the Alexandria database
Functional: GGA-PBE
Structure: relaxed

Cell lengths 4.6501, 4.6501, 6.8032 Å; angles 90.00, 90.00, 120.00 degrees
Closest atoms and distances in Å follow each position.
Sites, in units of the cell vectors:
1 Au 0.6667 0.3333 0.7476  4 Li 2.74-2.80
2 Au 0.3333 0.6667 0.2524  4 Li 2.74-2.80
3 Li 0.3333 0.6667 0.6636  4 Au 2.74-2.80, 3 Tl 2.91
4 Li 0.6667 0.3333 0.3364  4 Au 2.74-2.80, 3 Tl 2.91
5 Tl 0.0000 0.0000 0.5000  6 Li 2.91, 6 Au 3.17
6 Pr 0.0000 0.0000 0.0000  6 Au 3.19, 2 Tl 3.40, 6 Li 3.53

Output
- energy (hartree per atom) = -0.1262
- symmetry = P-3m1
- energy relative to the elements (eV per atom) = -0.513

***

[3]
Compound: LiPrTlAu
Source: the Alexandria database
Functional: GGA-PBE
Structure: relaxed

Cell lengths 5.0195, 5.0195, 5.0195 Å; angles 60.00, 60.00, 60.00 degrees
Closest atoms and distances in Å follow each position.
Sites, in units of the cell vectors:
1 Pr 0.5000 0.5000 0.5000  4 Li 3.07, 4 Au 3.07
2 Li 0.2500 0.2500 0.2500  4 Tl 3.07, 4 Pr 3.07
3 Au 0.7500 0.7500 0.7500  4 Pr 3.07, 4 Tl 3.07
4 Tl 0.0000 0.0000 0.0000  4 Au 3.07, 4 Li 3.07

Output
- relative energy among the computed polymorphs (kJ/mol of atoms) = 0.0
- energy (hartree per atom) = -0.1315
- symmetry = F-43m
- energy relative to the elements (eV per atom) = -0.493

***

[4]
Compound: LiPrTmAu
Source: the Alexandria database
Functional: GGA-PBE
Structure: relaxed

Cell lengths 5.1838, 5.1838, 5.1838 Å; angles 60.00, 60.00, 60.00 degrees
Closest atoms and distances in Å follow each position.
Sites, in units of the cell vectors:
1 Au 0.0000 0.0000 0.0000  4 Tm 3.17, 4 Pr 3.17
2 Tm 0.7500 0.7500 0.7500  4 Li 3.17, 4 Au 3.17
3 Pr 0.2500 0.2500 0.2500  4 Au 3.17, 4 Li 3.17
4 Li 0.5000 0.5000 0.5000  4 Tm 3.17, 4 Pr 3.17

Output
- energy (hartree per atom) = -0.1460
- symmetry = F-43m
- energy relative to the elements (eV per atom) = -0.363

***

| no. | DOS(E_F) (states/eV/atom) |
| --- | --- |
| 1 | 0.566 |
| 2 | 0.788 |
| 3 | 0.209 |
| 4 | 0.791 |